# Rb2GdH4, optimized geometry, DFT GGA-PBE
data_Rb2GdH4
_cell_length_a 8.167
_cell_length_b 8.167
_cell_length_c 8.167
_cell_angle_alpha 148.40
_cell_angle_beta 148.40
_cell_angle_gamma 45.29
_symmetry_space_group_name_H-M 'P 1'
_symmetry_Int_Tables_number 1
_symmetry_space_group_name_Hall 'P 1'
loop_
_atom_site_label
_atom_site_type_symbol
_atom_site_fract_x
_atom_site_fract_y
_atom_site_fract_z
_atom_site_occupancy
Rb1 Rb 0.155 0.155 0.000 1
Rb2 Rb 0.845 0.845 0.000 1
Gd1 Gd 0.500 0.500 0.000 1
H1 H 0.000 0.500 0.500 1
H2 H 0.348 0.348 0.000 1
H3 H 0.500 0.000 0.500 1
H4 H 0.652 0.652 0.000 1
# - DFT total energy: -31.0 eV for the cell shown